[1]
Here is TbSmCdRu after structural relaxation from the Alexandria database. Energies are from PBE.

The structure in POSCAR format:
```
TbSmCdRu
1.0
3.505 0.000 0.000
0.000 3.505 0.000
0.000 0.000 7.782
Tb Sm Cd Ru
1 1 1 1
direct
0.000 0.000 0.000
0.000 0.000 0.431
0.500 0.500 0.722
0.500 0.500 0.210
```

Output
Distance to the lowest polymorph of the same formula (meV/atom): 0



[2]
Here is TbSmCdRu after structural relaxation from the Alexandria database. Energies are from PBE.

The structure in POSCAR format:
```
TbSmCdRu
1.0
0.000 3.602 3.602
3.602 0.000 3.602
3.602 3.602 0.000
Tb Sm Cd Ru
1 1 1 1
direct
0.000 0.000 0.000
0.500 0.500 0.500
0.250 0.250 0.250
0.750 0.750 0.750
```

Output
Distance to the lowest polymorph of the same formula (meV/atom): 99



[3]
Here is SmYCdRu after structural relaxation from the Alexandria database. Energies are from PBE.

The structure in POSCAR format:
```
SmYCdRu
1.0
0.000 3.600 3.600
3.600 0.000 3.600
3.600 3.600 0.000
Sm Y Cd Ru
1 1 1 1
direct
0.000 0.000 0.000
0.500 0.500 0.500
0.750 0.750 0.750
0.250 0.250 0.250
```

Output
Distance to the lowest polymorph of the same formula (meV/atom): 97



[4]
Here is SmYCdRu after structural relaxation from the Alexandria database. Energies are from PBE.

The structure in POSCAR format:
```
SmYCdRu
1.0
3.510 0.000 0.000
0.000 3.510 0.000
0.000 0.000 7.738
Sm Y Cd Ru
1 1 1 1
direct
0.000 0.000 0.000
0.000 0.000 0.567
0.500 0.500 0.292
0.500 0.500 0.780
```

Output
Distance to the lowest polymorph of the same formula (meV/atom): 0



[5]
Here is Sm2Zn5CdRu2 after structural relaxation from the Alexandria database. Energies are from PBE.

The structure in POSCAR format:
```
Sm2Zn5CdRu2
1.0
9.597 0.000 0.000
0.000 9.597 0.000
0.000 0.000 4.140
Sm Zn Cd Ru
4 10 2 4
direct
0.179 0.321 0.000
0.321 0.821 0.000
0.679 0.179 0.000
0.821 0.679 0.000
0.000 0.500 0.500
0.061 0.785 0.500
0.215 0.061 0.500
0.285 0.561 0.500
0.439 0.285 0.500
0.500 0.000 0.500
0.561 0.715 0.500
0.715 0.439 0.500
0.785 0.939 0.500
0.939 0.215 0.500
0.000 0.000 0.000
0.500 0.500 0.000
0.118 0.618 0.000
0.382 0.118 0.000
0.618 0.882 0.000
0.882 0.382 0.000
```



[6]
Here is CdSnRu3 after structural relaxation from the Alexandria database. Energies are from PBE.

The structure in POSCAR format:
```
CdSnRu3
1.0
4.874 0.000 0.000
0.000 4.874 0.000
0.000 0.000 4.874
Cd Sn Ru
1 1 3
direct
0.000 0.000 0.000
0.500 0.500 0.500
0.000 0.500 0.500
0.500 0.000 0.500
0.500 0.500 0.000
```

Output
Distance to the lowest polymorph of the same formula (meV/atom): 0



[7]
Here is Cd2Sn2Ru after structural relaxation from the Alexandria database. Energies are from PBE.

The structure in POSCAR format:
```
Cd2Sn2Ru
1.0
7.067 0.000 0.000
0.000 7.067 0.000
0.000 0.000 4.521
Cd Sn Ru
4 4 2
direct
0.163 0.337 0.000
0.337 0.837 0.000
0.663 0.163 0.000
0.837 0.663 0.000
0.151 0.651 0.500
0.349 0.151 0.500
0.651 0.849 0.500
0.849 0.349 0.500
0.000 0.000 0.500
0.500 0.500 0.500
```



[8]
Here is Sr2CdSnRu after structural relaxation from the Alexandria database. Energies are from PBE.

The structure in POSCAR format:
```
Sr2CdSnRu
1.0
5.770 0.000 0.000
0.000 5.770 0.000
0.000 0.000 5.021
Sr Cd Sn Ru
2 1 1 1
direct
0.000 0.500 0.000
0.500 0.000 0.000
0.000 0.000 0.000
0.000 0.000 0.500
0.500 0.500 0.500
```



[9]
Here is TlCdSn2Ru after structural relaxation from the Alexandria database. Energies are from PBE.

The structure in POSCAR format:
```
TlCdSn2Ru
1.0
5.108 0.000 0.000
0.000 5.108 0.000
0.000 0.000 5.341
Tl Cd Sn Ru
1 1 2 1
direct
0.000 0.000 0.000
0.500 0.500 0.000
0.000 0.500 0.500
0.500 0.000 0.500
0.500 0.500 0.500
```



[10]
Here is CdSn2RuW after structural relaxation from the Alexandria database. Energies are from PBE.

The structure in POSCAR format:
```
CdSn2RuW
1.0
5.150 0.000 0.000
0.000 5.150 0.000
0.000 0.000 5.070
Cd Sn Ru W
1 2 1 1
direct
0.000 0.000 0.000
0.000 0.500 0.000
0.500 0.000 0.000
0.500 0.500 0.500
0.000 0.000 0.500
```



[11]
Here is SrCdRu after structural relaxation from the Alexandria database. Energies are from PBE.

The structure in POSCAR format:
```
SrCdRu
1.0
-1.825 1.825 5.406
1.825 -1.825 5.406
1.825 1.825 -5.406
Sr Cd Ru
1 1 1
direct
0.000 0.000 0.000
0.714 0.714 0.000
0.307 0.307 0.000
```



[12]
Here is Sr2CdRu after structural relaxation from the Alexandria database. Energies are from PBE.

The structure in POSCAR format:
```
Sr2CdRu
1.0
4.094 -1.755 0.000
4.094 1.755 0.000
-1.337 0.000 8.731
Sr Cd Ru
2 1 1
direct
0.237 0.237 0.201
0.763 0.763 0.799
0.000 0.000 0.500
0.500 0.500 0.000
```



Number 1: raw total energy -0.192 Ha/atom, total moment 0.00 μB per formula unit. Number 2: raw total energy -0.188 Ha/atom, total moment 0.00 μB per formula unit. Number 3: raw total energy -0.205 Ha/atom, total moment 0.00 μB per formula unit. Number 4: raw total energy -0.209 Ha/atom, total moment 0.00 μB per formula unit. Number 5: raw total energy -0.135 Ha/atom, total moment 0.00 μB per formula unit. Number 6: raw total energy -0.183 Ha/atom, total moment 3.98 μB per formula unit. Number 7: raw total energy -0.130 Ha/atom, total moment 0.10 μB per formula unit. Number 8: raw total energy -0.096 Ha/atom, total moment 2.01 μB per formula unit. Number 9: raw total energy -0.148 Ha/atom, total moment 0.00 μB per formula unit. Number 10: raw total energy -0.146 Ha/atom, total moment 2.78 μB per formula unit. Number 11: raw total energy -0.135 Ha/atom, total moment 0.00 μB per formula unit. Number 12: raw total energy -0.110 Ha/atom, total moment 0.46 μB per formula unit.